A plane-wave DFT calculation with PBE was carried out for Pr2ThSb2 after structural relaxation.

Cell lengths 4.4123, 7.9231, 9.2355 Å; angles 90.00, 90.00, 90.00 degrees
Closest atoms and distances in Å follow each position.
Space group Immm (No. 71)
Asymmetric unit:
Pr 0.0000 0.0000 0.1975 (multiplicity 4)  6 Sb 3.36-3.56, 2 Th 3.56, 1 Pr 3.65
Th 0.0000 0.5000 0.0000 (multiplicity 2)  4 Sb 3.12
Sb 0.0000 0.2783 0.5000 (multiplicity 4)  2 Th 3.12, 4 Pr 3.36

Summary:
Raw formation energy ... -0.72 eV per atom
Raw total energy ... -5.768 eV per atom
Total moment ... 0.00 μB per cell